# CdPd15Pb4 (PBE, optimized geometry)
data_CdPd15Pb4
_chemical_formula_sum 'Cd1 Pd15 Pb4'
_space_group_name_H-M_alt 'P 4/m m m'
_space_group_IT_number 123
_space_group_name_Hall '-P 4 2'
_cell_length_a 4.092
_cell_length_b 4.092
_cell_length_c 20.478
_cell_angle_alpha 90.00
_cell_angle_beta 90.00
_cell_angle_gamma 90.00
loop_
_atom_site_label
_atom_site_type_symbol
_atom_site_fract_x
_atom_site_fract_y
_atom_site_fract_z
Cd1 Cd 0.000 0.000 0.000
Pd1 Pd 0.000 0.500 0.098
Pd2 Pd 0.000 0.500 0.299
Pd3 Pd 0.000 0.500 0.500
Pd4 Pd 0.500 0.500 0.000
Pd5 Pd 0.500 0.500 0.199
Pd6 Pd 0.500 0.500 0.399
Pb1 Pb 0.000 0.000 0.196
Pb2 Pb 0.000 0.000 0.399
# Total magnetic moment: 0.00 μB per cell
# Calculated total energy: -4.95 eV per atom
# Formation energy: -0.273 eV/atom

# CdPd6Pb2 (PBE, optimized geometry)
data_CdPd6Pb2
_chemical_formula_sum 'Cd2 Pd12 Pb4'
_space_group_name_H-M_alt 'C 1 2/m 1'
_space_group_IT_number 12
_cell_length_a 14.391
_cell_length_b 7.750
_cell_length_c 3.126
_cell_angle_alpha 90.00
_cell_angle_beta 102.37
_cell_angle_gamma 90.00
loop_
_space_group_symop_operation_xyz
'x,y,z'
'-x,-y,-z'
'-x,y,-z'
'x,-y,z'
'x+1/2,y+1/2,z'
'-x+1/2,-y+1/2,-z'
'-x+1/2,y+1/2,-z'
'x+1/2,-y+1/2,z'
loop_
_atom_site_label
_atom_site_type_symbol
_atom_site_fract_x
_atom_site_fract_y
_atom_site_fract_z
Cd1 Cd 0.000 0.000 0.000
Pd1 Pd 0.000 0.300 0.500
Pd2 Pd 0.166 0.193 0.167
Pb1 Pb 0.165 0.500 0.668
# Total magnetic moment: 0.00 μB per cell
# Calculated total energy: -4.53 eV per atom
# Formation energy: -0.143 eV/atom

# Cd2PdPb (PBE, optimized geometry)
data_Cd2PdPb
_chemical_formula_sum 'Cd6 Pd3 Pb3'
_space_group_name_H-M_alt 'R 3 m'
_space_group_IT_number 160
_space_group_name_Hall 'R 3 -2"'
_cell_length_a 4.7445
_cell_length_b 4.7445
_cell_length_c 14.6154
_cell_angle_alpha 90.00
_cell_angle_beta 90.00
_cell_angle_gamma 120.00
loop_
_atom_site_label
_atom_site_type_symbol
_atom_site_fract_x
_atom_site_fract_y
_atom_site_fract_z
Cd1 Cd 0.0000 0.0000 0.0000
Cd2 Cd 0.0000 0.0000 0.2269
Pd1 Pd 0.0000 0.0000 0.5898
Pb1 Pb 0.0000 0.0000 0.7831
# Total magnetic moment: 0.00 μB per cell
# Calculated total energy: -2.77 eV per atom
# Formation energy: -0.091 eV/atom

# Cd2PdPb (PBE, optimized geometry)
data_Cd2PdPb
_chemical_formula_sum 'Cd6 Pd3 Pb3'
_space_group_name_H-M_alt 'R -3 m'
_space_group_IT_number 166
_space_group_name_Hall '-R 3 2"'
_cell_length_a 3.1173
_cell_length_b 3.1173
_cell_length_c 34.0904
_cell_angle_alpha 90.00
_cell_angle_beta 90.00
_cell_angle_gamma 120.00
loop_
_atom_site_label
_atom_site_type_symbol
_atom_site_fract_x
_atom_site_fract_y
_atom_site_fract_z
Cd1 Cd 0.0000 0.0000 0.0787
Pd1 Pd 0.0000 0.0000 0.0000
Pb1 Pb 0.0000 0.0000 0.5000
# Total magnetic moment: 0.00 μB per cell
# Calculated total energy: -2.48 eV per atom
# Formation energy: 0.208 eV/atom

# CdPd2Pb8 (PBE, optimized geometry)
data_CdPd2Pb8
_chemical_formula_sum 'Cd2 Pd4 Pb16'
_space_group_name_H-M_alt 'C 1 2/m 1'
_space_group_IT_number 12
_cell_length_a 13.910
_cell_length_b 8.871
_cell_length_c 5.689
_cell_angle_alpha 90.00
_cell_angle_beta 113.16
_cell_angle_gamma 90.00
loop_
_space_group_symop_operation_xyz
'x,y,z'
'-x,-y,-z'
'-x,y,-z'
'x,-y,z'
'x+1/2,y+1/2,z'
'-x+1/2,-y+1/2,-z'
'-x+1/2,y+1/2,-z'
'x+1/2,-y+1/2,z'
loop_
_atom_site_label
_atom_site_type_symbol
_atom_site_fract_x
_atom_site_fract_y
_atom_site_fract_z
Cd1 Cd 0.000 0.000 0.000
Pd1 Pd 0.215 0.000 0.279
Pb1 Pb 0.097 0.500 0.804
Pb2 Pb 0.126 0.297 0.324
Pb3 Pb 0.154 0.000 0.721
# Total magnetic moment: 0.00 μB per cell
# Calculated total energy: -3.74 eV per atom
# Formation energy: -0.012 eV/atom

# Cd3Pd7Pb (PBE, optimized geometry)
data_Cd3Pd7Pb
_chemical_formula_sum 'Cd6 Pd14 Pb2'
_space_group_name_H-M_alt 'C 1 2/m 1'
_space_group_IT_number 12
_cell_length_a 9.179
_cell_length_b 9.553
_cell_length_c 5.280
_cell_angle_alpha 90.00
_cell_angle_beta 114.53
_cell_angle_gamma 90.00
loop_
_space_group_symop_operation_xyz
'x,y,z'
'-x,-y,-z'
'-x,y,-z'
'x,-y,z'
'x+1/2,y+1/2,z'
'-x+1/2,-y+1/2,-z'
'-x+1/2,y+1/2,-z'
'x+1/2,-y+1/2,z'
loop_
_atom_site_label
_atom_site_type_symbol
_atom_site_fract_x
_atom_site_fract_y
_atom_site_fract_z
Cd1 Cd 0.000 0.000 0.000
Cd2 Cd 0.000 0.215 0.500
Pd1 Pd 0.000 0.500 0.500
Pd2 Pd 0.174 0.245 0.178
Pd3 Pd 0.209 0.000 0.537
Pb1 Pb 0.000 0.500 0.000
# Total magnetic moment: 0.00 μB per cell
# Calculated total energy: -4.00 eV per atom
# Formation energy: -0.114 eV/atom

# CdPd8Pb2 (PBE, optimized geometry)
data_CdPd8Pb2
_chemical_formula_sum 'Cd2 Pd16 Pb4'
_space_group_name_H-M_alt 'I m m m'
_space_group_IT_number 71
_space_group_name_Hall '-I 2 2'
_cell_length_a 4.094
_cell_length_b 7.811
_cell_length_c 12.352
_cell_angle_alpha 90.00
_cell_angle_beta 90.00
_cell_angle_gamma 90.00
loop_
_atom_site_label
_atom_site_type_symbol
_atom_site_fract_x
_atom_site_fract_y
_atom_site_fract_z
Cd1 Cd 0.000 0.000 0.000
Pd1 Pd 0.000 0.248 0.500
Pd2 Pd 0.000 0.252 0.165
Pd3 Pd 0.000 0.500 0.335
Pb1 Pb 0.000 0.000 0.339
# Total magnetic moment: 0.00 μB per cell
# Calculated total energy: -4.78 eV per atom
# Distance to the lowest polymorph of the same formula: 0.00 eV/f.u.
# Formation energy: -0.244 eV/atom

# Cd5Pd6Pb (PBE, optimized geometry)
data_Cd5Pd6Pb
_chemical_formula_sum 'Cd10 Pd12 Pb2'
_space_group_name_H-M_alt 'I m m m'
_space_group_IT_number 71
_space_group_name_Hall '-I 2 2'
_cell_length_a 4.536
_cell_length_b 6.953
_cell_length_c 13.668
_cell_angle_alpha 90.00
_cell_angle_beta 90.00
_cell_angle_gamma 90.00
loop_
_atom_site_label
_atom_site_type_symbol
_atom_site_fract_x
_atom_site_fract_y
_atom_site_fract_z
Cd1 Cd 0.000 0.000 0.000
Cd2 Cd 0.000 0.000 0.327
Cd3 Cd 0.000 0.500 0.334
Pd1 Pd 0.000 0.249 0.500
Pd2 Pd 0.000 0.252 0.166
Pb1 Pb 0.000 0.500 0.000
# Total magnetic moment: 0.00 μB per cell
# Calculated total energy: -3.64 eV per atom
# Formation energy: -0.350 eV/atom

# Cd2Pd12Pb5 (PBE, optimized geometry)
data_Cd2Pd12Pb5
_chemical_formula_sum 'Cd4 Pd24 Pb10'
_space_group_name_H-M_alt 'C 1 2/m 1'
_space_group_IT_number 12
_cell_length_a 15.830
_cell_length_b 5.630
_cell_length_c 9.312
_cell_angle_alpha 90.00
_cell_angle_beta 110.07
_cell_angle_gamma 90.00
loop_
_space_group_symop_operation_xyz
'x,y,z'
'-x,-y,-z'
'-x,y,-z'
'x,-y,z'
'x+1/2,y+1/2,z'
'-x+1/2,-y+1/2,-z'
'-x+1/2,y+1/2,-z'
'x+1/2,-y+1/2,z'
loop_
_atom_site_label
_atom_site_type_symbol
_atom_site_fract_x
_atom_site_fract_y
_atom_site_fract_z
Cd1 Cd 0.000 0.244 0.000
Pd1 Pd 0.011 0.500 0.356
Pd2 Pd 0.104 0.000 0.300
Pd3 Pd 0.157 0.252 0.603
Pd4 Pd 0.187 0.241 0.115
Pb1 Pb 0.000 0.000 0.500
Pb2 Pb 0.154 0.500 0.858
Pb3 Pb 0.186 0.500 0.365
# Total magnetic moment: 0.00 μB per cell
# Calculated total energy: -4.47 eV per atom
# Formation energy: -0.122 eV/atom

# Cd3Pd8Pb2 (PBE, optimized geometry)
data_Cd3Pd8Pb2
_chemical_formula_sum 'Cd9 Pd24 Pb6'
_space_group_name_H-M_alt 'R -3 m'
_space_group_IT_number 166
_space_group_name_Hall '-R 3 2"'
_cell_length_a 5.3855
_cell_length_b 5.3855
_cell_length_c 30.3032
_cell_angle_alpha 90.00
_cell_angle_beta 90.00
_cell_angle_gamma 120.00
loop_
_atom_site_label
_atom_site_type_symbol
_atom_site_fract_x
_atom_site_fract_y
_atom_site_fract_z
Cd1 Cd 0.0000 0.0000 0.0000
Cd2 Cd 0.0000 0.0000 0.1856
Pd1 Pd 0.0000 0.0000 0.2754
Pd2 Pd 0.0031 0.5015 0.7733
Pb1 Pb 0.0000 0.0000 0.3652
# Total magnetic moment: 0.00 μB per cell
# Calculated total energy: -4.06 eV per atom
# Formation energy: -0.082 eV/atom

# CdPd4Pb (PBE, optimized geometry)
data_CdPd4Pb
_chemical_formula_sum 'Cd2 Pd8 Pb2'
_space_group_name_H-M_alt 'C 1 2/m 1'
_space_group_IT_number 12
_cell_length_a 9.254
_cell_length_b 3.946
_cell_length_c 6.095
_cell_angle_alpha 90.00
_cell_angle_beta 109.52
_cell_angle_gamma 90.00
loop_
_space_group_symop_operation_xyz
'x,y,z'
'-x,-y,-z'
'-x,y,-z'
'x,-y,z'
'x+1/2,y+1/2,z'
'-x+1/2,-y+1/2,-z'
'-x+1/2,y+1/2,-z'
'x+1/2,-y+1/2,z'
loop_
_atom_site_label
_atom_site_type_symbol
_atom_site_fract_x
_atom_site_fract_y
_atom_site_fract_z
Cd1 Cd 0.000 0.000 0.000
Pd1 Pd 0.165 0.500 0.329
Pd2 Pd 0.168 0.500 0.837
Pb1 Pb 0.000 0.000 0.500
# Total magnetic moment: 0.00 μB per cell
# Calculated total energy: -4.48 eV per atom
# Distance to the lowest polymorph of the same formula: 0.00 eV/f.u.
# Formation energy: -0.249 eV/atom

# CdPd12Pb6 (PBE, optimized geometry)
data_CdPd12Pb6
_chemical_formula_sum 'Cd3 Pd36 Pb18'
_space_group_name_H-M_alt 'R -3'
_space_group_IT_number 148
_space_group_name_Hall '-R 3'
_cell_length_a 12.3029
_cell_length_b 12.3029
_cell_length_c 8.4918
_cell_angle_alpha 90.00
_cell_angle_beta 90.00
_cell_angle_gamma 120.00
loop_
_atom_site_label
_atom_site_type_symbol
_atom_site_fract_x
_atom_site_fract_y
_atom_site_fract_z
Cd1 Cd 0.0000 0.0000 0.0000
Pd1 Pd 0.0463 0.8078 0.0752
Pd2 Pd 0.0586 0.8205 0.4165
Pb1 Pb 0.0454 0.8302 0.7378
# Total magnetic moment: 0.00 μB per cell
# Calculated total energy: -4.70 eV per atom
# Formation energy: -0.198 eV/atom